The following is a DFT calculation (PBE) of a geometry-optimized YMg2AgSn structure.

Calculated total energy, eV per atom: -3.243
SG: No. 123
Energy of formation, eV/atom: 0.059

abc: 5.0020 5.0020 5.3276
angles: 90.00 90.00 90.00
Closest atoms and distances in Å follow each position.
Sites, in units of the cell vectors:
Y 0.0000 0.0000 0.0000  4 Sn 3.54, 8 Mg 3.65
Mg 0.0000 0.5000 0.5000  2 Ag 2.50
Mg 0.5000 0.0000 0.5000  2 Ag 2.50
Ag 0.5000 0.5000 0.5000  4 Mg 2.50, 2 Sn 2.66
Sn 0.5000 0.5000 0.0000  2 Ag 2.66

The following is a DFT calculation (PBE) of a geometry-optimized YMgAgSn structure.

Calculated total energy, eV per atom: -4.125
SG: No. 216
Energy of formation, eV/atom: -0.397

abc: 5.0841 5.0841 5.0841
angles: 60.00 60.00 60.00
Closest atoms and distances in Å follow each position.
Sites, in units of the cell vectors:
Y 0.0000 0.0000 0.0000  4 Sn 3.11, 4 Ag 3.11
Mg 0.5000 0.5000 0.5000  4 Sn 3.11, 4 Ag 3.11
Ag 0.7500 0.7500 0.7500  4 Mg 3.11, 4 Y 3.11
Sn 0.2500 0.2500 0.2500  4 Mg 3.11, 4 Y 3.11

The following is a DFT calculation (PBE) of a geometry-optimized Mg2ZnAg7Sn2 structure.

Calculated total energy, eV per atom: -2.739
SG: No. 12
Energy of formation, eV/atom: -0.036

abc: 4.4284 4.4284 12.2211
angles: 90.27 90.27 93.48
Closest atoms and distances in Å follow each position.
Sites, in units of the cell vectors:
Mg 0.0002 0.0002 0.1990  6 Ag 2.83-2.93, 2 Sn 3.02-3.05
Mg 0.9998 0.9998 0.8010  6 Ag 2.83-2.93, 2 Sn 3.02-3.05
Zn 0.5000 0.5000 0.5000  10 Ag 2.83-3.03
Ag 0.0000 0.0000 0.5000  8 Ag 2.84, 2 Zn 3.03
Ag 0.0012 0.4988 0.3548  2 Zn 2.83-2.85, 4 Ag 2.84-3.03, 2 Mg 2.91-2.93, 2 Sn 2.94-2.95
Ag 0.2388 0.2388 0.0007  2 Mg 2.83, 2 Sn 2.86-2.88, 1 Ag 2.90
Ag 0.4988 0.0012 0.3548  2 Zn 2.83-2.85, 4 Ag 2.84-3.03, 2 Mg 2.91-2.93, 2 Sn 2.94-2.95
Ag 0.5012 0.9988 0.6452  2 Zn 2.83-2.85, 4 Ag 2.84-3.03, 2 Mg 2.91-2.93, 2 Sn 2.94-2.95
Ag 0.7612 0.7612 0.9993  2 Mg 2.83, 2 Sn 2.86-2.88, 1 Ag 2.90
Ag 0.9988 0.5012 0.6452  2 Zn 2.83-2.85, 4 Ag 2.84-3.03, 2 Mg 2.91-2.93, 2 Sn 2.94-2.95
Sn 0.4981 0.4981 0.8041  6 Ag 2.86-2.95, 2 Mg 3.02-3.05
Sn 0.5019 0.5019 0.1959  6 Ag 2.86-2.95, 2 Mg 3.02-3.05

The following is a DFT calculation (PBE) of a geometry-optimized MgZrAgSn structure.

Calculated total energy, eV per atom: -4.558
SG: No. 47
Energy of formation, eV/atom: -0.309

abc: 4.1842 4.2460 4.6689
angles: 90.00 90.00 90.00
Closest atoms and distances in Å follow each position.
Sites, in units of the cell vectors:
Mg 0.0000 0.0000 0.0000  4 Ag 2.98, 4 Sn 3.13, 4 Zr 3.16
Zr 0.0000 0.5000 0.5000  4 Sn 2.98, 4 Ag 3.13, 4 Mg 3.16
Ag 0.5000 0.5000 0.0000  4 Mg 2.98, 4 Zr 3.13, 4 Sn 3.16
Sn 0.5000 0.0000 0.5000  4 Zr 2.98, 4 Mg 3.13, 4 Ag 3.16

The following is a DFT calculation (PBE) of a geometry-optimized Mg2ZrAgSn structure.

Calculated total energy, eV per atom: -3.276
SG: No. 123
Energy of formation, eV/atom: 0.442

abc: 4.8660 4.8660 5.3063
angles: 90.00 90.00 90.00
Closest atoms and distances in Å follow each position.
Sites, in units of the cell vectors:
Mg 0.0000 0.5000 0.0000  2 Ag 2.43
Mg 0.5000 0.0000 0.0000  2 Ag 2.43
Zr 0.0000 0.0000 0.5000  4 Sn 3.44, 8 Mg 3.60
Ag 0.5000 0.5000 0.0000  4 Mg 2.43, 2 Sn 2.65
Sn 0.5000 0.5000 0.5000  2 Ag 2.65

The following is a DFT calculation (PBE) of a geometry-optimized MgZrAg2Sn structure.

Calculated total energy, eV per atom: -3.147
SG: No. 123
Energy of formation, eV/atom: 0.823

abc: 5.2896 5.2896 5.5079
angles: 90.00 90.00 90.00
Closest atoms and distances in Å follow each position.
Sites, in units of the cell vectors:
Mg 0.0000 0.0000 0.0000  4 Sn 3.74, 8 Ag 3.82
Zr 0.5000 0.5000 0.5000  4 Ag 2.64, 2 Sn 2.75
Ag 0.0000 0.5000 0.5000  2 Zr 2.64
Ag 0.5000 0.0000 0.5000  2 Zr 2.64
Sn 0.5000 0.5000 0.0000  2 Zr 2.75